Material: Tm4Pd3Pt
Method: DFT, GGA-PBE
State: optimized geometry

Values from the calculation:
Density of states at the Fermi level ... 6.36 states/eV/f.u.
DFT formation energy ... -1053 meV per atom

Cell: 3.7012 4.4770 10.4258 Å, 90.00 90.00 90.00°
Fractional positions:
Pd: 0.0000 0.5000 0.5873
Pt: 0.5000 0.5000 0.0872
Pd: 0.0000 0.0000 0.4147
Tm: 0.0000 0.0000 0.1381
Tm: 0.5000 0.5000 0.3592
Tm: 0.0000 0.5000 0.8651
Pd: 0.5000 0.0000 0.9103
Tm: 0.5000 0.0000 0.6381